# 1
# SrLaFe2

A relaxed structure of SrLaFe2 (GGA-PBE, the Alexandria database).

total energy = -5.545 eV per atom
V = 103 Å³/cell

Lattice parameters (Å, degrees): 6.857 6.857 6.857 149.14 141.16 50.41
Sites, in units of the cell vectors:
Sr (0.000, 0.000, 0.000)
La (0.732, 0.232, 0.500)
Fe (0.276, 0.776, 0.500)
Fe (0.390, 0.390, 0.000)

# 2
# CoCu2Br

A relaxed structure of CoCu2Br (GGA-PBE, the Alexandria database).

offset from the most stable computed form = 306 meV per atom
total energy = -3.593 eV per atom
V = 61 Å³/cell

Lattice parameters (Å, degrees): 5.479 5.479 3.151 106.58 106.58 125.27
Sites, in units of the cell vectors:
Co (0.000, 0.000, 0.000)
Cu (0.000, 0.500, 0.000)
Cu (0.500, 0.000, 0.000)
Br (0.500, 0.500, 0.000)